A geometry-optimized SrVCO5 structure. Source: Alexandria via LeMat-Bulk, functional PBE with a Hubbard U.

The structure in extended XYZ format:
```
16
Lattice="-3.3022 -2.5484 3.4095 2.8031 -3.8543 -2.5120 4.6412 3.0042 4.1228" Properties=species:S:1:pos:R:3 pbc="T T T"
Sr 1.8645 -2.6543 0.5545
Sr 2.2777 -0.7442 4.4658
V 2.3206 1.5021 2.0614
V 0.0000 0.0000 0.0000
C -0.2528 -2.2014 2.6080
C 4.3950 -1.1971 2.4123
O 3.5642 -3.0178 -1.0941
O 0.5780 -0.3806 6.1144
O -1.4094 -3.0185 2.7609
O 5.5516 -0.3800 2.2594
O -0.2341 -1.1410 3.5587
O 4.3763 -2.2575 1.4616
O 0.9432 -2.9668 2.7856
O 3.1990 -0.4317 2.2347
O -0.2532 -1.6917 1.2709
O 4.3954 -1.7068 3.7494
```

space group: C2/c (15)
E_tot: -58.291 eV per formula unit